(1)
VASP calculation (PBE) on crystalline Ba2YIrCl at its relaxed geometry.

As for the uncorrected formation energy: 0.596 eV/atom. The space group is No. 123. As for the energy: -3.61 eV/atom.

Unit cell a=6.522 b=6.522 c=4.979 alpha=90.00 beta=90.00 gamma=90.00
Fractional positions:
Ba 0.000 0.500 0.000
Ba 0.500 0.000 0.000
Y 0.000 0.000 0.000
Ir 0.500 0.500 0.500
Cl 0.000 0.000 0.500


(2)
VASP calculation (PBE) on crystalline KBaCl2 at its relaxed geometry.

As for the uncorrected formation energy: -1.703 eV/atom. The space group is No. 71. The energy above the lowest structure with this stoichiometry comes out at 0.123 eV/atom. As for the energy: -3.38 eV/atom.

Unit cell a=6.983 b=6.983 c=6.983 alpha=143.17 beta=99.59 gamma=91.89
Fractional positions:
K 0.000 0.000 0.000
Ba 0.500 0.000 0.500
Cl 0.262 0.500 0.762
Cl 0.738 0.500 0.238


(3)
VASP calculation (PBE) on crystalline KBaCl2 at its relaxed geometry.

As for the uncorrected formation energy: -1.765 eV/atom. The space group is No. 10. The energy above the lowest structure with this stoichiometry comes out at 0.061 eV/atom. As for the energy: -3.44 eV/atom.

Unit cell a=4.271 b=4.030 c=8.429 alpha=90.00 beta=90.24 gamma=90.00
Fractional positions:
K 0.000 0.000 0.000
Ba 0.500 0.000 0.500
Cl 0.500 0.500 0.212
Cl 0.500 0.500 0.788


(4)
VASP calculation (PBE) on crystalline K2BaCl at its relaxed geometry.

As for the uncorrected formation energy: -0.825 eV/atom. The space group is No. 65. The energy above the lowest structure with this stoichiometry comes out at 0.045 eV/atom. As for the energy: -2.32 eV/atom.

Unit cell a=4.326 b=4.326 c=11.999 alpha=90.00 beta=90.00 gamma=113.35
Fractional positions:
K 0.000 0.000 0.167
K 0.000 0.000 0.833
Ba 0.500 0.500 0.500
Cl 0.500 0.500 0.000